This record from the Alexandria database describes a geometry-optimized LiY2ScS5 structure. The functional is PBE.

abc: 3.833 8.196 11.585
angles: 90.00 90.00 103.52
Positions (direct):
S (0.052, 0.105, 0.070)
S (0.502, 0.004, 0.281)
S (0.282, 0.564, 0.660)
S (0.498, 0.996, 0.781)
S (0.639, 0.277, 0.500)
S (0.361, 0.723, 0.000)
S (0.948, 0.895, 0.570)
S (0.693, 0.386, 0.852)
S (0.307, 0.614, 0.352)
S (0.718, 0.436, 0.160)
Y (0.894, 0.788, 0.185)
Y (0.106, 0.212, 0.685)
Y (0.129, 0.257, 0.295)
Y (0.871, 0.743, 0.795)
Li (0.518, 0.036, 0.977)
Li (0.482, 0.964, 0.477)
Sc (0.802, 0.604, 0.505)
Sc (0.198, 0.396, 0.005)

- Volume: 177 Å³/f.u.
- Magnetization: 0.000 μB per cell
- Energy relative to the elements, uncorrected: -1.8503 eV/atom
- Crystal system: orthorhombic
- Space-group type: Cmc2_1 (36)